Entry 1:
VASP calculation (meta-GGA SCAN) on a PBEsol-optimized structure of CeInPd2.

Properties
Mass density in g/cm³: 9.62
Symmetry: P6_3/mmc (194)
E_form in eV per atom: -0.7755
Electronic total energy in eV/atom: -36.650

Cell: 4.5915 4.5915 8.8470 Å, 90.00 90.00 120.00°
Fractional positions:
1 Ce 0.3333 0.6667 0.2500
2 Ce 0.6667 0.3333 0.7500
3 In 0.0000 0.0000 0.0000
4 In 0.0000 0.0000 0.5000
5 Pd 0.3333 0.6667 0.5848
6 Pd 0.3333 0.6667 0.9152
7 Pd 0.6667 0.3333 0.0848
8 Pd 0.6667 0.3333 0.4152

Entry 2:
VASP calculation (meta-GGA SCAN) on a PBEsol-optimized structure of NaLiCl2.

Properties
Energy relative to the elements, uncorrected in meV per atom: -1787
Mass density in g/cm³: 2.23
Symmetry: Fm-3m (225)
Electronic total energy in eV/atom: -7.427

Cell: 4.7338 4.7338 4.7338 Å, 60.00 60.00 60.00°
Fractional positions:
1 Na 0.0000 0.0000 0.0000
2 Li 0.5000 0.5000 0.5000
3 Cl 0.2500 0.2500 0.2500
4 Cl 0.7500 0.7500 0.7500

Entry 3:
VASP calculation (meta-GGA SCAN) on a PBEsol-optimized structure of Lu2Ru2O7.

Properties
Energy relative to the elements, uncorrected in meV per atom: -2508
Mass density in g/cm³: 9.00
Symmetry: Fd-3m (227)
Electronic total energy in eV/atom: -22.868

Cell: 7.0241 7.0241 7.0241 Å, 60.00 60.00 60.00°
Fractional positions:
1 Lu 0.0000 0.0000 0.0000
2 Lu 0.0000 0.0000 0.5000
3 Lu 0.0000 0.5000 0.0000
4 Lu 0.5000 0.0000 0.0000
5 Ru 0.0000 0.5000 0.5000
6 Ru 0.5000 0.0000 0.5000
7 Ru 0.5000 0.5000 0.0000
8 Ru 0.5000 0.5000 0.5000
9 O 0.1250 0.1250 0.1250
10 O 0.1615 0.1615 0.5885
11 O 0.1615 0.5885 0.1615
12 O 0.1615 0.5885 0.5885
13 O 0.4115 0.4115 0.8385
14 O 0.4115 0.8385 0.4115
15 O 0.4115 0.8385 0.8385
16 O 0.5885 0.1615 0.1615
17 O 0.5885 0.1615 0.5885
18 O 0.5885 0.5885 0.1615
19 O 0.8385 0.4115 0.4115
20 O 0.8385 0.4115 0.8385
21 O 0.8385 0.8385 0.4115
22 O 0.8750 0.8750 0.8750

Entry 4:
VASP calculation (meta-GGA SCAN) on a PBEsol-optimized structure of NbAl2ReI.

Properties
Energy relative to the elements, uncorrected in meV per atom: 574
Mass density in g/cm³: 6.64
Symmetry: P4/mmm (123)
Electronic total energy in eV/atom: -30.720

Cell: 4.8618 4.8618 4.8636 Å, 90.00 90.00 90.00°
Fractional positions:
1 Nb 0.0000 0.0000 0.0000
2 Al 0.0000 0.5000 0.5000
3 Al 0.5000 0.0000 0.5000
4 Re 0.0000 0.0000 0.5000
5 I 0.5000 0.5000 0.0000

Entry 5:
VASP calculation (meta-GGA SCAN) on a PBEsol-optimized structure of LaMoOs.

Properties
Mass density in g/cm³: 11.93
Symmetry: I4mm (107)
E_form in eV per atom: 0.1664
Electronic total energy in eV/atom: -49.790

Cell: 6.4912 6.4912 6.4912 Å, 152.25 152.25 39.64°
Fractional positions:
1 La 0.0000 0.0000 0.0000
2 Mo 0.7008 0.7008 0.0000
3 Os 0.3058 0.3058 0.0000

Entry 6:
VASP calculation (meta-GGA SCAN) on a PBEsol-optimized structure of Tb2MgGe2.

Properties
Mass density in g/cm³: 7.41
Symmetry: P4/mbm (127)
E_form in eV per atom: -0.8557
Electronic total energy in eV/atom: -28.190

Cell: 7.2144 7.2144 4.1950 Å, 90.00 90.00 90.00°
Fractional positions:
1 Tb 0.1773 0.3227 0.0000
2 Tb 0.3227 0.8227 0.0000
3 Tb 0.6773 0.1773 0.0000
4 Tb 0.8227 0.6773 0.0000
5 Mg 0.0000 0.0000 0.5000
6 Mg 0.5000 0.5000 0.5000
7 Ge 0.1230 0.6230 0.5000
8 Ge 0.3770 0.1230 0.5000
9 Ge 0.6230 0.8770 0.5000
10 Ge 0.8770 0.3770 0.5000

Entry 7:
VASP calculation (meta-GGA SCAN) on a PBEsol-optimized structure of InSi3Ag.

Properties
Energy relative to the elements, uncorrected in meV per atom: 1565
Mass density in g/cm³: 4.03
Symmetry: Pm-3m (221)
Electronic total energy in eV/atom: -17.396

Cell: 5.0200 5.0200 5.0200 Å, 90.00 90.00 90.00°
Fractional positions:
1 In 0.0000 0.0000 0.0000
2 Si 0.0000 0.0000 0.5000
3 Si 0.0000 0.5000 0.0000
4 Si 0.5000 0.0000 0.0000
5 Ag 0.5000 0.5000 0.5000

Entry 8:
VASP calculation (meta-GGA SCAN) on a PBEsol-optimized structure of In2SbMo.

Properties
Energy relative to the elements, uncorrected in meV per atom: 593
Mass density in g/cm³: 8.96
Symmetry: P4/mmm (123)
Electronic total energy in eV/atom: -34.137

Cell: 4.7731 4.7731 3.6394 Å, 90.00 90.00 90.00°
Fractional positions:
1 In 0.0000 0.5000 0.0000
2 In 0.5000 0.0000 0.0000
3 Sb 0.0000 0.0000 0.5000
4 Mo 0.5000 0.5000 0.5000